Record 1
Computed, not measured: a geometry-optimized Nd9YTh2 structure at the PBE-GGA level of DFT.

Calculated values
**Magnetization**: 0.000 μB per atom
**Symmetry**: No. 123
**E**: -5.31 eV/atom
**Formation energy from the elements**: 53 kJ/mol of formula units

Cell lengths 5.1597, 5.1597, 15.5001 Å; angles 90.00, 90.00, 90.00 degrees
Positions (direct):
Nd 0.0000 0.0000 0.0000
Nd 0.0000 0.0000 0.3332
Nd 0.0000 0.0000 0.6668
Nd 0.0000 0.5000 0.1688
Nd 0.0000 0.5000 0.5000
Nd 0.0000 0.5000 0.8312
Nd 0.5000 0.0000 0.1688
Nd 0.5000 0.0000 0.5000
Nd 0.5000 0.0000 0.8312
Y 0.5000 0.5000 0.0000
Th 0.5000 0.5000 0.3334
Th 0.5000 0.5000 0.6666

***

Record 2
Computed, not measured: a geometry-optimized Nd2YTh3 structure at the PBE-GGA level of DFT.

Calculated values
**Magnetization**: 0.000 μB per atom
**Symmetry**: No. 63
**E**: -6.18 eV/atom
**Formation energy from the elements**: 114 kJ/mol of formula units

Cell lengths 7.7163, 7.7163, 6.7943 Å; angles 90.00, 90.00, 95.97 degrees
Positions (direct):
Nd 0.0631 0.6038 0.7500
Nd 0.3962 0.9369 0.7500
Nd 0.6038 0.0631 0.2500
Nd 0.9369 0.3962 0.2500
Y 0.2700 0.7300 0.2500
Y 0.7300 0.2700 0.7500
Th 0.0000 0.0000 0.0000
Th 0.0000 0.0000 0.5000
Th 0.3334 0.3334 0.0000
Th 0.3334 0.3334 0.5000
Th 0.6666 0.6666 0.0000
Th 0.6666 0.6666 0.5000